# 1
ZrCuBPt: optimized geometry, PBE-GGA.

Geometry as POSCAR:
```
ZrCuBPt
1.0
0.0000 3.0803 3.0803
3.0803 0.0000 3.0803
3.0803 3.0803 0.0000
Zr Cu B Pt
1 1 1 1
Cartesian
0.0000 0.0000 0.0000
3.0803 3.0803 3.0803
1.5401 1.5401 1.5401
4.6204 4.6204 4.6204
```

Computed properties:
E above lowest polymorph	0.1726	eV/atom
raw total energy	-6.25	eV per atom
M_tot	0.00	μB/f.u.

=====

# 2
ZrCuBPt: optimized geometry, PBE-GGA.

Geometry as POSCAR:
```
ZrCuBPt
1.0
0.0000 3.0075 3.0075
3.0075 0.0000 3.0075
3.0075 3.0075 0.0000
Zr Cu B Pt
1 1 1 1
Cartesian
0.0000 0.0000 0.0000
1.5038 1.5038 1.5038
4.5113 4.5113 4.5113
3.0075 3.0075 3.0075
```

Computed properties:
E above lowest polymorph	0.0000	eV/atom
raw total energy	-6.42	eV per atom
M_tot	0.00	μB/f.u.

=====

# 3
PuCuB: optimized geometry, PBE-GGA.

Geometry as POSCAR:
```
PuCuB
1.0
0.0000 3.0495 3.0495
3.0495 0.0000 3.0495
3.0495 3.0495 0.0000
Pu Cu B
1 1 1
Cartesian
0.0000 0.0000 0.0000
1.5248 1.5248 1.5248
4.5743 4.5743 4.5743
```

Computed properties:
E above lowest polymorph	0.7438	eV/atom
raw total energy	-7.15	eV per atom
M_tot	5.40	μB/f.u.

=====

# 4
PuCuB: optimized geometry, PBE-GGA.

Geometry as POSCAR:
```
PuCuB
1.0
0.0000 2.8998 2.8998
2.8998 0.0000 2.8998
2.8998 2.8998 0.0000
Pu Cu B
1 1 1
Cartesian
0.0000 0.0000 0.0000
4.3497 4.3497 4.3497
2.8998 2.8998 2.8998
```

Computed properties:
E above lowest polymorph	0.4559	eV/atom
raw total energy	-7.44	eV per atom
M_tot	4.39	μB/f.u.